Entry 1:
Material: Sr2TlBr2
Method: DFT, SCAN
State: PBEsol geometry

V: 35.6 Å³ per atom
Formation energy without anion corrections: -31.15 kcal/mol of atoms
Symmetry: I4/mmm (139)

Lattice parameters (Å, degrees): 4.8665 4.8665 15.0350 90.00 90.00 90.00
Positions (direct):
Sr1 0.0000 0.0000 0.1263
Sr2 0.0000 0.0000 0.8737
Sr3 0.5000 0.5000 0.3737
Sr4 0.5000 0.5000 0.6263
Tl1 0.0000 0.0000 0.5000
Tl2 0.5000 0.5000 0.0000
Br1 0.0000 0.5000 0.2500
Br2 0.0000 0.5000 0.7500
Br3 0.5000 0.0000 0.2500
Br4 0.5000 0.0000 0.7500

Entry 2:
Material: CdHgAu2
Method: DFT, SCAN
State: PBEsol geometry

V: 18.5 Å³ per atom
Formation enthalpy at 0 K: -0.055 eV per atom
Symmetry: Fm-3m (225)

Lattice parameters (Å, degrees): 6.6696 6.6696 6.6696 90.00 90.00 90.00
Positions (direct):
Cd1 0.0000 0.0000 0.0000
Cd2 0.0000 0.5000 0.5000
Cd3 0.5000 0.0000 0.5000
Cd4 0.5000 0.5000 0.0000
Hg1 0.0000 0.0000 0.5000
Hg2 0.0000 0.5000 0.0000
Hg3 0.5000 0.0000 0.0000
Hg4 0.5000 0.5000 0.5000
Au1 0.2500 0.2500 0.2500
Au2 0.2500 0.2500 0.7500
Au3 0.2500 0.7500 0.2500
Au4 0.2500 0.7500 0.7500
Au5 0.7500 0.2500 0.2500
Au6 0.7500 0.2500 0.7500
Au7 0.7500 0.7500 0.2500
Au8 0.7500 0.7500 0.7500

Entry 3:
Material: BaRe2PdPb
Method: DFT, SCAN
State: PBEsol geometry

V: 26.7 Å³ per atom
Formation enthalpy at 0 K: 1.750 eV per atom
Symmetry: P4/mmm (123)

Lattice parameters (Å, degrees): 5.1265 5.1265 5.0840 90.00 90.00 90.00
Positions (direct):
Ba1 0.0000 0.0000 0.0000
Re1 0.0000 0.5000 0.5000
Re2 0.5000 0.0000 0.5000
Pd1 0.5000 0.5000 0.0000
Pb1 0.5000 0.5000 0.5000

Entry 4:
Material: KH2Os
Method: DFT, SCAN
State: PBEsol geometry

V: 12.0 Å³ per atom
E: -319.75 eV/cell
Symmetry: Fm-3m (225)

Lattice parameters (Å, degrees): 5.7716 5.7716 5.7716 90.00 90.00 90.00
Positions (direct):
K1 0.0000 0.0000 0.0000
K2 0.0000 0.5000 0.5000
K3 0.5000 0.0000 0.5000
K4 0.5000 0.5000 0.0000
H1 0.2500 0.2500 0.2500
H2 0.2500 0.2500 0.7500
H3 0.2500 0.7500 0.2500
H4 0.2500 0.7500 0.7500
H5 0.7500 0.2500 0.2500
H6 0.7500 0.2500 0.7500
H7 0.7500 0.7500 0.2500
H8 0.7500 0.7500 0.7500
Os1 0.0000 0.0000 0.5000
Os2 0.0000 0.5000 0.0000
Os3 0.5000 0.0000 0.0000
Os4 0.5000 0.5000 0.5000

Entry 5:
Material: LaMgZr
Method: DFT, SCAN
State: PBEsol geometry

V: 25.8 Å³ per atom
Formation enthalpy at 0 K: 0.070 eV per atom
Symmetry: I4mm (107)

Lattice parameters (Å, degrees): 3.2543 3.2543 14.5910 90.00 90.00 90.00
Positions (direct):
La1 0.0000 0.0000 0.0000
La2 0.5000 0.5000 0.5000
Mg1 0.0000 0.0000 0.6825
Mg2 0.5000 0.5000 0.1825
Zr1 0.0000 0.0000 0.3296
Zr2 0.5000 0.5000 0.8296

Entry 6:
Material: Mo2IrRh
Method: DFT, SCAN
State: PBEsol geometry

V: 14.4 Å³ per atom
Formation enthalpy at 0 K: -0.303 eV per atom
Symmetry: Cmmm (65)

Lattice parameters (Å, degrees): 5.4461 7.7313 2.7292 90.00 90.00 90.00
Positions (direct):
Mo1 0.2500 0.2500 0.0000
Mo2 0.2500 0.7500 0.0000
Mo3 0.7500 0.2500 0.0000
Mo4 0.7500 0.7500 0.0000
Ir1 0.0000 0.0000 0.5000
Ir2 0.5000 0.5000 0.5000
Rh1 0.0000 0.5000 0.5000
Rh2 0.5000 0.0000 0.5000

Entry 7:
Material: Tl2RhBr
Method: DFT, SCAN
State: PBEsol geometry

V: 26.7 Å³ per atom
Formation energy without anion corrections: -1.71 kcal/mol of atoms
Symmetry: Pmm2 (25)

Lattice parameters (Å, degrees): 3.7526 3.7699 7.5398 90.00 90.00 90.00
Positions (direct):
Tl1 0.0000 0.0000 0.0000
Tl2 0.5000 0.5000 0.3729
Rh1 0.5000 0.5000 0.0239
Br1 0.0000 0.0000 0.5802

Entry 8:
Material: Te2RuSN
Method: DFT, SCAN
State: PBEsol geometry

V: 20.2 Å³ per atom
Formation energy without anion corrections: 10.73 kcal/mol of atoms
Symmetry: P4/mmm (123)

Lattice parameters (Å, degrees): 5.3000 5.3000 3.5935 90.00 90.00 90.00
Positions (direct):
Te1 0.0000 0.5000 0.0000
Te2 0.5000 0.0000 0.0000
Ru1 0.0000 0.0000 0.0000
S1 0.5000 0.5000 0.5000
N1 0.0000 0.0000 0.5000

Entry 9:
Material: KReAu2
Method: DFT, SCAN
State: PBEsol geometry

V: 22.0 Å³ per atom
Formation enthalpy at 0 K: 0.566 eV per atom
Symmetry: Pmm2 (25)

Lattice parameters (Å, degrees): 2.6567 4.6918 7.0632 90.00 90.00 90.00
Positions (direct):
K1 0.0000 0.0000 0.0000
Re1 0.5000 0.5000 0.3756
Au1 0.0000 0.0000 0.4394
Au2 0.5000 0.5000 0.7427

Entry 10:
Material: RuSeBr2Cl
Method: DFT, SCAN
State: PBEsol geometry

V: 23.2 Å³ per atom
Formation energy without anion corrections: 6.05 kcal/mol of atoms
Symmetry: P4/mmm (123)

Lattice parameters (Å, degrees): 5.0085 5.0085 4.6324 90.00 90.00 90.00
Positions (direct):
Ru1 0.0000 0.0000 0.0000
Se1 0.0000 0.0000 0.5000
Br1 0.0000 0.5000 0.0000
Br2 0.5000 0.0000 0.0000
Cl1 0.5000 0.5000 0.5000

Entry 11:
Material: FeSb3Cl
Method: DFT, SCAN
State: PBEsol geometry

V: 23.9 Å³ per atom
Formation energy without anion corrections: 5.16 kcal/mol of atoms
Symmetry: Pm-3m (221)

Lattice parameters (Å, degrees): 4.9233 4.9233 4.9233 90.00 90.00 90.00
Positions (direct):
Fe1 0.0000 0.0000 0.0000
Sb1 0.0000 0.0000 0.5000
Sb2 0.0000 0.5000 0.0000
Sb3 0.5000 0.0000 0.0000
Cl1 0.5000 0.5000 0.5000

Entry 12:
Material: KCaCl3
Method: DFT, SCAN
State: PBEsol geometry

V: 27.9 Å³ per atom
Formation energy without anion corrections: -57.59 kcal/mol of atoms
Symmetry: Pnma (62)

Lattice parameters (Å, degrees): 7.5254 10.3152 7.1813 90.00 90.00 90.00
Positions (direct):
K1 0.0702 0.2500 0.0233
K2 0.4298 0.7500 0.5233
K3 0.5702 0.2500 0.4767
K4 0.9298 0.7500 0.9767
Ca1 0.0000 0.0000 0.5000
Ca2 0.0000 0.5000 0.5000
Ca3 0.5000 0.0000 0.0000
Ca4 0.5000 0.5000 0.0000
Cl1 0.0312 0.7500 0.3958
Cl2 0.2011 0.5537 0.8032
Cl3 0.2011 0.9463 0.8032
Cl4 0.2989 0.0537 0.3032
Cl5 0.2989 0.4463 0.3032
Cl6 0.4688 0.2500 0.8958
Cl7 0.5312 0.7500 0.1042
Cl8 0.7011 0.5537 0.6968
Cl9 0.7011 0.9463 0.6968
Cl10 0.7989 0.0537 0.1968
Cl11 0.7989 0.4463 0.1968
Cl12 0.9688 0.2500 0.6042